(1)
The following is a DFT calculation (PBE) of an optimized crystal structure of InSnAu3.

The space group is P2_1/m (No. 11) and the conventional cell measures 5.4111, 7.1918 and 5.8855 Å, with angles of 90.00, 105.97 and 90.00 degrees. Symmetry generates all atoms from In at (0.0725, 0.2500, 0.4193), Sn at (0.3236, 0.7500, 0.2116), Au at (0.2009, 0.0507, 0.8808) and Au at (0.4750, 0.7500, 0.7043).

The relative energy among the computed polymorphs comes out at 26.4 meV/atom. The magnetization is 0.0 μB per formula unit.



(2)
The following is a DFT calculation (PBE) of an optimized crystal structure of InSn2Au.

The space group is R3m (No. 160, hexagonal axes) and the conventional cell measures 4.5265, 4.5265 and 18.2630 Å, with angles of 90.00, 90.00 and 120.00 degrees. Symmetry generates all atoms from In at (0.0000, 0.0000, 0.0000), Sn at (0.0000, 0.0000, 0.5689), Sn at (0.0000, 0.0000, 0.7695) and Au at (0.0000, 0.0000, 0.1673).

The raw total energy is -42.78 eV for the cell shown. The magnetization is 0.0 μB per formula unit.



(3)
The following is a DFT calculation (PBE) of an optimized crystal structure of In3SnAu4.

The space group is Pmm2 (No. 25) and the conventional cell measures 3.7464, 4.3693 and 10.7115 Å, with angles of 90.00, 90.00 and 90.00 degrees. Symmetry generates all atoms from In at (0.0000, 0.0000, 0.0000), In at (0.0000, 0.5000, 0.2852), In at (0.5000, 0.5000, 0.7897), Sn at (0.5000, 0.0000, 0.4994), Au at (0.0000, 0.0000, 0.7360), Au at (0.0000, 0.5000, 0.5516), Au at (0.5000, 0.0000, 0.2350) and Au at (0.5000, 0.5000, 0.0543).

The relative energy among the computed polymorphs comes out at 0.0 meV/atom. The magnetization is 0.0 μB per formula unit.



(4)
The following is a DFT calculation (PBE) of an optimized crystal structure of In2Sn2Au.

The space group is P4/mbm (No. 127) and the conventional cell measures 7.2929, 7.2929 and 4.9441 Å, with angles of 90.00, 90.00 and 90.00 degrees. Symmetry generates all atoms from In at (0.1463, 0.3537, 0.0000), Sn at (0.1650, 0.6650, 0.5000) and Au at (0.0000, 0.0000, 0.0000).

The relative energy among the computed polymorphs comes out at 81.6 meV/atom. The magnetization is 0.0 μB per formula unit.



(5)
The following is a DFT calculation (PBE) of an optimized crystal structure of InSn3Au4.

The space group is Imm2 (No. 44) and the conventional cell measures 6.0029, 11.3055 and 5.4269 Å, with angles of 90.00, 90.00 and 90.00 degrees. Symmetry generates all atoms from In at (0.0000, 0.0000, 0.0000), Sn at (0.0000, 0.2204, 0.4989), Sn at (0.0000, 0.5000, 0.5050), Au at (0.0000, 0.2769, 0.9993) and Au at (0.2492, 0.5000, 0.0026).

The relative energy among the computed polymorphs comes out at 69.5 meV/atom. The magnetization is 0.0 μB per formula unit.



(6)
The following is a DFT calculation (PBE) of an optimized crystal structure of In3Sn5Au12.

The space group is Ia-3d (No. 230) and the conventional cell measures 16.0914, 16.0914 and 16.0914 Å, with angles of 90.00, 90.00 and 90.00 degrees. Symmetry generates all atoms from In at (0.0000, 0.2500, 0.1250), Sn at (0.0000, 0.0000, 0.0000), Sn at (0.0000, 0.2500, 0.3750) and Au at (0.0085, 0.0757, 0.6536).

The raw total energy is -541.73 eV for the cell shown. The magnetization is 0.0 μB per formula unit.



(7)
The following is a DFT calculation (PBE) of an optimized crystal structure of In2Sn14Au9.

The space group is P-3 (No. 147) and the conventional cell measures 8.1415, 8.1415 and 11.6523 Å, with angles of 90.00, 90.00 and 120.00 degrees. Symmetry generates all atoms from In at (0.3333, 0.6667, 0.2490), Sn at (0.0000, 0.0000, 0.2469), Sn at (0.0187, 0.6688, 0.9070), Sn at (0.0275, 0.3581, 0.5892), Au at (0.0000, 0.0000, 0.0000), Au at (0.0165, 0.3345, 0.3408) and Au at (0.3333, 0.6667, 0.0059).

The raw total energy is -94.45 eV for the cell shown. The magnetization is 0.0 μB per formula unit.



(8)
The following is a DFT calculation (PBE) of an optimized crystal structure of InSn12Au4.

The space group is Im-3 (No. 204) and the conventional cell measures 9.7425, 9.7425 and 9.7425 Å, with angles of 90.00, 90.00 and 90.00 degrees. Symmetry generates all atoms from In at (0.0000, 0.0000, 0.0000), Sn at (0.0000, 0.3465, 0.1530) and Au at (0.2500, 0.2500, 0.2500).

The raw total energy is -130.17 eV for the cell shown. The magnetization is 0.0 μB per formula unit.



(9)
The following is a DFT calculation (PBE) of an optimized crystal structure of Sr2InSnAu6.

The space group is Fm-3m (No. 225) and the conventional cell measures 10.4927, 10.4927 and 10.4927 Å, with angles of 90.00, 90.00 and 90.00 degrees. Symmetry generates all atoms from Sr at (0.2500, 0.2500, 0.2500), In at (0.0000, 0.0000, 0.0000), Sn at (0.0000, 0.0000, 0.5000) and Au at (0.0000, 0.0000, 0.2499).

The raw total energy is -129.36 eV for the cell shown. The magnetization is 0.0 μB per formula unit.



(10)
The following is a DFT calculation (PBE) of an optimized crystal structure of Sr3InSn2Au6.

The space group is P-3m1 (No. 164) and the conventional cell measures 6.4780, 6.4780 and 8.8307 Å, with angles of 90.00, 90.00 and 120.00 degrees. Symmetry generates all atoms from Sr at (0.0000, 0.0000, 0.0000), Sr at (0.3333, 0.6667, 0.6313), In at (0.0000, 0.0000, 0.5000), Sn at (0.3333, 0.6667, 0.0335) and Au at (0.1803, 0.3606, 0.2869).

The raw total energy is -41.56 eV for the cell shown. The magnetization is 0.0 μB per formula unit.



(11)
The following is a DFT calculation (PBE) of an optimized crystal structure of Sr3In2SnAu6.

The space group is P-3m1 (No. 164) and the conventional cell measures 6.4209, 6.4209 and 8.9002 Å, with angles of 90.00, 90.00 and 120.00 degrees. Symmetry generates all atoms from Sr at (0.0000, 0.0000, 0.0000), Sr at (0.3333, 0.6667, 0.6225), In at (0.3333, 0.6667, 0.0161), Sn at (0.0000, 0.0000, 0.5000) and Au at (0.1819, 0.3639, 0.2826).

The raw total energy is -40.23 eV for the cell shown. The magnetization is 0.0 μB per formula unit.



(12)
The following is a DFT calculation (PBE) of an optimized crystal structure of Sr2In6SnAu.

The space group is R-3m (No. 166, hexagonal axes) and the conventional cell measures 7.2986, 7.2986 and 40.6229 Å, with angles of 90.00, 90.00 and 120.00 degrees. Symmetry generates all atoms from Sr at (0.0000, 0.0000, 0.1057), Sr at (0.0000, 0.0000, 0.2778), In at (0.0541, 0.5270, 0.3039), In at (0.0628, 0.5314, 0.8639), Sn at (0.0000, 0.0000, 0.4252), Au at (0.0000, 0.0000, 0.0000) and Au at (0.0000, 0.0000, 0.5000).

The raw total energy is -173.17 eV for the cell shown. The magnetization is 0.0 μB per formula unit.



(13)
The following is a DFT calculation (PBE) of an optimized crystal structure of Sr2InSn4Au3.

The space group is P-4m2 (No. 115) and the conventional cell measures 4.7307, 4.7307 and 11.9110 Å, with angles of 90.00, 90.00 and 90.00 degrees. Symmetry generates all atoms from Sr at (0.0000, 0.5000, 0.2481), In at (0.0000, 0.0000, 0.5000), Sn at (0.0000, 0.0000, 0.0000), Sn at (0.0000, 0.5000, 0.6404), Sn at (0.5000, 0.5000, 0.0000), Au at (0.0000, 0.5000, 0.8659) and Au at (0.5000, 0.5000, 0.5000).

The raw total energy is -37.01 eV for the cell shown. The magnetization is 0.0 μB per formula unit.



(14)
The following is a DFT calculation (PBE) of an optimized crystal structure of Sr2In3SnAu4.

The space group is P-4m2 (No. 115) and the conventional cell measures 4.7616, 4.7616 and 11.3944 Å, with angles of 90.00, 90.00 and 90.00 degrees. Symmetry generates all atoms from Sr at (0.0000, 0.5000, 0.2418), In at (0.0000, 0.5000, 0.8752), In at (0.5000, 0.5000, 0.5000), Sn at (0.0000, 0.0000, 0.5000), Au at (0.0000, 0.0000, 0.0000), Au at (0.0000, 0.5000, 0.6367) and Au at (0.5000, 0.5000, 0.0000).

The raw total energy is -33.92 eV for the cell shown. The magnetization is 0.0 μB per formula unit.



(15)
The following is a DFT calculation (PBE) of an optimized crystal structure of Sr2In4SnAu3.

The space group is P-4m2 (No. 115) and the conventional cell measures 4.6904, 4.6904 and 12.0255 Å, with angles of 90.00, 90.00 and 90.00 degrees. Symmetry generates all atoms from Sr at (0.0000, 0.5000, 0.2454), In at (0.0000, 0.0000, 0.0000), In at (0.0000, 0.5000, 0.6426), In at (0.5000, 0.5000, 0.0000), Sn at (0.0000, 0.0000, 0.5000), Au at (0.0000, 0.5000, 0.8677) and Au at (0.5000, 0.5000, 0.5000).

The raw total energy is -32.91 eV for the cell shown. The magnetization is 0.0 μB per formula unit.



(16)
The following is a DFT calculation (PBE) of an optimized crystal structure of ThInSnAu.

The space group is F-43m (No. 216) and the conventional cell measures 7.3883, 7.3883 and 7.3883 Å, with angles of 90.00, 90.00 and 90.00 degrees. Symmetry generates all atoms from Th at (0.0000, 0.0000, 0.0000), In at (0.0000, 0.0000, 0.5000), Sn at (0.2500, 0.2500, 0.2500) and Au at (0.2500, 0.2500, 0.7500).

The raw total energy is -75.05 eV for the cell shown. The magnetization is 0.0 μB per formula unit.



(17)
The following is a DFT calculation (PBE) of an optimized crystal structure of Tl2InSn2Au7.

The space group is C2/m (No. 12) and the conventional cell measures 6.1330, 6.0336 and 15.6263 Å, with angles of 90.00, 97.49 and 90.00 degrees. Symmetry generates all atoms from Tl at (0.0824, 0.0000, 0.3924), In at (0.0000, 0.0000, 0.0000), Sn at (0.0724, 0.5000, 0.2487), Au at (0.0000, 0.5000, 0.0000), Au at (0.0792, 0.5000, 0.4229) and Au at (0.2103, 0.2477, 0.8653).

The raw total energy is -78.39 eV for the cell shown. The magnetization is 0.0 μB per formula unit.



(18)
The following is a DFT calculation (PBE) of an optimized crystal structure of Tl2InSn3Au4.

The space group is P-4m2 (No. 115) and the conventional cell measures 4.9467, 4.9467 and 10.8651 Å, with angles of 90.00, 90.00 and 90.00 degrees. Symmetry generates all atoms from Tl at (0.0000, 0.5000, 0.2377), In at (0.0000, 0.0000, 0.5000), Sn at (0.0000, 0.5000, 0.8789), Sn at (0.5000, 0.5000, 0.5000), Au at (0.0000, 0.0000, 0.0000), Au at (0.0000, 0.5000, 0.6273) and Au at (0.5000, 0.5000, 0.0000).

The raw total energy is -33.75 eV for the cell shown. The magnetization is 0.0 μB per formula unit.